No. 1
A geometry-optimized MnSb2As structure, computed with PBE.

Properties
- raw formation energy (eV per atom) = 0.13
- total magnetization (Bohr magnetons per cell) = 5.68
- volume (Å³/atom) = 22.5
- crystal system = monoclinic

Unit cell a=11.084 b=3.275 c=5.452 alpha=90.00 beta=114.28 gamma=90.00
Space group Cm (No. 8)
Asymmetric unit:
Mn: 0.000 0.000 0.000 (multiplicity 2)
Sb: 0.271 0.000 0.998 (multiplicity 2)
Sb: 0.448 0.000 0.575 (multiplicity 2)
As: 0.127 0.500 0.357 (multiplicity 2)

---

No. 2
A geometry-optimized SbMoBr2 structure, computed with PBE.

Properties
- raw formation energy (eV per atom) = -0.10
- total magnetization (Bohr magnetons per cell) = 0.00
- volume (Å³/atom) = 29.9
- crystal system = monoclinic

Unit cell a=9.904 b=3.333 c=7.735 alpha=90.00 beta=110.41 gamma=90.00
Space group Cm (No. 8)
Asymmetric unit:
Sb: 0.000 0.000 0.000 (multiplicity 2)
Mo: 0.213 0.500 0.000 (multiplicity 2)
Br: 0.182 0.000 0.720 (multiplicity 2)
Br: 0.335 0.000 0.280 (multiplicity 2)

---

No. 3
A geometry-optimized NdEuAlAu structure, computed with PBE.

Properties
- total magnetization (Bohr magnetons per cell) = 27.53
- volume (Å³/atom) = 26.5
- uncorrected energy (eV/atom) = -5.989
- crystal system = cubic

Unit cell a=7.509 b=7.509 c=7.509 alpha=90.00 beta=90.00 gamma=90.00
Space group F-43m (No. 216)
Asymmetric unit:
Nd: 0.000 0.000 0.000 (multiplicity 4)
Eu: 0.000 0.000 0.500 (multiplicity 4)
Al: 0.250 0.250 0.250 (multiplicity 4)
Au: 0.250 0.250 0.750 (multiplicity 4)

---

No. 4
A geometry-optimized Cs2HoSiO4 structure, computed with PBE.

Properties
- raw formation energy (eV per atom) = -2.23
- total magnetization (Bohr magnetons per cell) = 0.00
- volume (Å³/atom) = 28.7
- crystal system = orthorhombic

Unit cell a=5.637 b=13.085 c=24.914 alpha=90.00 beta=90.00 gamma=90.00
Space group Fddd (No. 70, origin choice 2)
Asymmetric unit:
Cs: 0.125 0.125 0.304 (multiplicity 16)
Ho: 0.125 0.125 0.125 (multiplicity 8)
Si: 0.125 0.125 0.625 (multiplicity 8)
O: 0.062 0.302 0.840 (multiplicity 32)

---

No. 5
A geometry-optimized NdPu2Pa structure, computed with PBE.

Properties
- total magnetization (Bohr magnetons per cell) = 10.64
- volume (Å³/atom) = 26.8
- uncorrected energy (eV/atom) = -10.600
- crystal system = tetragonal

Unit cell a=3.362 b=3.362 c=9.497 alpha=90.00 beta=90.00 gamma=90.00
Space group P4/mmm (No. 123)
Asymmetric unit:
Nd: 0.000 0.000 0.000 (multiplicity 1)
Pu: 0.500 0.500 0.282 (multiplicity 2)
Pa: 0.000 0.000 0.500 (multiplicity 1)

---

No. 6
A geometry-optimized Ge2RhW structure, computed with PBE.

Properties
- total magnetization (Bohr magnetons per cell) = 0.00
- volume (Å³/atom) = 16.8
- uncorrected energy (eV/atom) = -6.930
- crystal system = tetragonal

Unit cell a=6.741 b=6.741 c=5.906 alpha=90.00 beta=90.00 gamma=90.00
Space group I-42d (No. 122)
Asymmetric unit:
Ge: 0.233 0.250 0.125 (multiplicity 8)
Rh: 0.000 0.000 0.000 (multiplicity 4)
W: 0.000 0.000 0.500 (multiplicity 4)

---

No. 7
A geometry-optimized MgPaCdAg structure, computed with PBE.

Properties
- total magnetization (Bohr magnetons per cell) = 2.58
- volume (Å³/atom) = 22.8
- uncorrected energy (eV/atom) = -3.595
- crystal system = cubic

Unit cell a=7.142 b=7.142 c=7.142 alpha=90.00 beta=90.00 gamma=90.00
Space group F-43m (No. 216)
Asymmetric unit:
Mg: 0.000 0.000 0.000 (multiplicity 4)
Pa: 0.000 0.000 0.500 (multiplicity 4)
Cd: 0.250 0.250 0.250 (multiplicity 4)
Ag: 0.250 0.250 0.750 (multiplicity 4)

---

No. 8
A geometry-optimized Y2Sc4Sn3O2 structure, computed with PBE.

Properties
- raw formation energy (eV per atom) = -1.56
- total magnetization (Bohr magnetons per cell) = 0.00
- volume (Å³/atom) = 21.4
- crystal system = tetragonal

Unit cell a=4.395 b=4.395 c=24.342 alpha=90.00 beta=90.00 gamma=90.00
Space group I4/mmm (No. 139)
Asymmetric unit:
Y: 0.000 0.000 0.193 (multiplicity 4)
Sc: 0.000 0.500 0.082 (multiplicity 8)
Sn: 0.000 0.000 0.326 (multiplicity 4)
Sn: 0.000 0.000 0.500 (multiplicity 2)
O: 0.000 0.000 0.092 (multiplicity 4)

---

No. 9
A geometry-optimized Ce12Mn3H5 structure, computed with PBE.

Properties
- total magnetization (Bohr magnetons per cell) = 0.07
- volume (Å³/atom) = 19.7
- uncorrected energy (eV/atom) = -5.802
- crystal system = cubic

Unit cell a=14.650 b=14.650 c=14.650 alpha=90.00 beta=90.00 gamma=90.00
Space group Ia-3d (No. 230)
Asymmetric unit:
Ce: 0.035 0.078 0.654 (multiplicity 96)
Mn: 0.000 0.250 0.125 (multiplicity 24)
H: 0.000 0.000 0.000 (multiplicity 16)
H: 0.000 0.250 0.375 (multiplicity 24)

---

No. 10
A geometry-optimized Mg2H3Ir3 structure, computed with PBE.

Properties
- total magnetization (Bohr magnetons per cell) = 0.00
- volume (Å³/atom) = 11.3
- uncorrected energy (eV/atom) = -5.093
- crystal system = triclinic

Unit cell a=4.058 b=4.922 c=5.143 alpha=80.33 beta=74.65 gamma=65.73
Space group P-1 (No. 2)
Asymmetric unit:
Mg: 0.003 0.218 0.151 (multiplicity 2)
H: 0.472 0.852 0.220 (multiplicity 2)
H: 0.500 0.500 0.000 (multiplicity 1)
Ir: 0.241 0.599 0.335 (multiplicity 2)
Ir: 0.500 0.000 0.500 (multiplicity 1)

---

No. 11
A geometry-optimized SrSc2AuS structure, computed with PBE.

Properties
- raw formation energy (eV per atom) = 0.93
- total magnetization (Bohr magnetons per cell) = 0.00
- volume (Å³/atom) = 32.3
- crystal system = tetragonal

Unit cell a=5.617 b=5.617 c=5.123 alpha=90.00 beta=90.00 gamma=90.00
Space group P4/mmm (No. 123)
Asymmetric unit:
Sr: 0.000 0.000 0.000 (multiplicity 1)
Sc: 0.000 0.500 0.000 (multiplicity 2)
Au: 0.500 0.500 0.500 (multiplicity 1)
S: 0.000 0.000 0.500 (multiplicity 1)

---

No. 12
A geometry-optimized KAg2HgI4 structure, computed with PBE.

Properties
- raw formation energy (eV per atom) = -0.45
- total magnetization (Bohr magnetons per cell) = 0.00
- volume (Å³/atom) = 44.6
- crystal system = orthorhombic

Unit cell a=9.647 b=9.648 c=15.324 alpha=90.00 beta=90.00 gamma=90.00
Space group Fmm2 (No. 42)
Asymmetric unit:
K: 0.000 0.000 0.000 (multiplicity 4)
Ag: 0.250 0.250 0.250 (multiplicity 8)
Hg: 0.000 0.000 0.499 (multiplicity 4)
I: 0.000 0.233 0.351 (multiplicity 8)
I: 0.233 0.000 0.648 (multiplicity 8)